Record 1
! LaHoAlGa PBE optimized geometry; values from VASP
! D(E_F) = 7.27 states/eV/cell
! crystal system = orthorhombic
! E above lowest polymorph = 0.000 eV/atom
! space group = Amm2
&SYSTEM
  ibrav = 0, nat = 8, ntyp = 4
/
ATOMIC_SPECIES
La 138.91 La.upf
Ho 164.93 Ho.upf
Al 26.98 Al.upf
Ga 69.72 Ga.upf
CELL_PARAMETERS angstrom
4.2084 0.0000 0.0000
0.0000 4.4682 0.0000
0.0000 0.0000 11.3253
ATOMIC_POSITIONS angstrom
La 0.0000 0.0000 0.0000
La 0.0000 2.2341 5.6626
Ho 2.1042 0.0000 8.1577
Ho 2.1042 2.2341 2.4950
Al 0.0000 0.0000 3.2339
Al 0.0000 2.2341 8.8965
Ga 2.1042 0.0000 4.8052
Ga 2.1042 2.2341 10.4679

***

Record 2
! NbCu6Pd12 PBE optimized geometry; values from VASP
! D(E_F) = 16.83 states/eV/cell
! crystal system = trigonal
! E above lowest polymorph = 0.210 eV/atom
! space group = R-3m
&SYSTEM
  ibrav = 0, nat = 19, ntyp = 3
/
ATOMIC_SPECIES
Nb 92.91 Nb.upf
Cu 63.55 Cu.upf
Pd 106.42 Pd.upf
CELL_PARAMETERS angstrom
5.3250 3.0744 2.9620
-5.3250 3.0744 2.9620
0.0000 -6.1488 2.9620
ATOMIC_POSITIONS angstrom
Nb 0.0000 0.0000 0.0000
Cu 0.0000 -1.5285 2.2571
Cu -1.3237 0.7642 2.2571
Cu 1.3237 0.7642 2.2571
Cu -1.3237 -0.7642 6.6290
Cu 1.3237 -0.7642 6.6290
Cu 0.0000 1.5285 6.6290
Pd -1.3680 -3.7793 2.9620
Pd -3.9570 0.7049 2.9620
Pd -2.0687 -1.1944 4.0042
Pd 1.3680 -3.7793 2.9620
Pd -2.5889 3.0744 2.9620
Pd 0.0000 -2.3887 4.8819
Pd -2.0687 1.1943 4.8819
Pd 2.0687 -1.1943 4.0042
Pd 0.0000 2.3887 4.0042
Pd 3.9570 0.7049 2.9620
Pd 2.5889 3.0744 2.9620
Pd 2.0687 1.1943 4.8818